Entry 1:
The following is a PBE-GGA calculation of a geometry-optimized LiSc2Co structure, from Alexandria via LeMat-Bulk. Values from VASP.

Quantum ESPRESSO input file:
```
&SYSTEM
  ibrav = 0, nat = 8, ntyp = 3
/
ATOMIC_SPECIES
Sc 44.96 Sc.upf
Co 58.93 Co.upf
Li 6.94 Li.upf
CELL_PARAMETERS angstrom
7.1480 0.0000 0.0000
0.0000 7.1480 0.0000
3.5740 3.5740 2.9802
ATOMIC_POSITIONS angstrom
Sc 5.6682 1.7870 0.7451
Sc 1.4798 5.3610 0.7451
Sc 5.3610 5.0538 2.2352
Sc 8.9350 9.2422 2.2352
Co 0.0000 0.0000 0.0000
Co 7.1480 3.5740 1.4901
Li 3.5740 3.5740 0.0000
Li 3.5740 7.1480 1.4901
```

The uncorrected energy comes out at -41.8 eV/cell. As for the symmetry: I-42d (122). The calculation puts the density at 3.40 g/cm3. The formation energy comes out at 0.192 eV per atom. The crystal system is tetragonal.


Entry 2:
The following is a PBE-GGA calculation of a geometry-optimized LiSc2Co structure, from Alexandria via LeMat-Bulk. Values from VASP.

Quantum ESPRESSO input file:
```
&SYSTEM
  ibrav = 0, nat = 4, ntyp = 3
/
ATOMIC_SPECIES
Co 58.93 Co.upf
Li 6.94 Li.upf
Sc 44.96 Sc.upf
CELL_PARAMETERS angstrom
-0.9738 -4.3227 0.9409
0.5885 -1.5918 4.1999
-3.5953 -1.0050 2.5657
ATOMIC_POSITIONS angstrom
Co -1.9903 -3.4598 3.8532
Li -2.9854 -5.1896 5.7799
Sc 0.0000 0.0000 0.0000
Sc -0.9951 -1.7299 1.9266
```

The uncorrected energy comes out at -20.9 eV/cell. As for the symmetry: F-43m (216). The calculation puts the density at 3.94 g/cm3. The formation energy comes out at 0.185 eV per atom. The crystal system is cubic.